Record 1
Below is a relaxed Sc5Pt crystal, with properties calculated at the PBE level.

```
Sc5Pt
1.0
3.342 0.000 0.000
0.000 3.342 0.000
0.000 0.000 12.011
Sc Pt
5 1
direct
0.000 0.000 0.868
0.000 0.000 0.132
0.500 0.500 0.683
0.500 0.500 0.317
0.000 0.000 0.500
0.500 0.500 0.000
```

Calculated values
- volume (Å³/atom) = 22.36
- calculated formation energy (meV per atom) = -382
- energy above the most stable polymorph in this dataset (eV/atom) = 0.043
- electronic total energy (eV per atom) = -6.67
- space group = P4/mmm, No. 123



Record 2
Below is a relaxed LiLa2AgC crystal, with properties calculated at the PBE level.

```
LiLa2AgC
1.0
5.237 0.000 0.000
0.000 5.237 0.000
0.000 0.000 4.263
C Li Ag La
1 1 1 2
direct
0.000 0.000 0.000
0.000 0.000 0.500
0.500 0.500 0.500
0.000 0.500 0.000
0.500 0.000 0.000
```

Calculated values
- volume (Å³/atom) = 23.38
- calculated formation energy (meV per atom) = -33
- electronic total energy (eV per atom) = -4.80
- space group = P4/mmm, No. 123



Record 3
Below is a relaxed BaPmAlHg crystal, with properties calculated at the PBE level.

```
BaPmAlHg
1.0
-1.315 -1.799 5.163
-0.626 -5.501 0.986
3.818 -2.758 3.074
Ba Al Hg Pm
1 1 1 1
direct
0.250 0.250 0.250
0.000 0.000 0.000
0.500 0.500 0.500
0.750 0.750 0.750
```

Calculated values
- volume (Å³/atom) = 31.44
- calculated formation energy (meV per atom) = -216
- electronic total energy (eV per atom) = -2.90
- space group = F-43m, No. 216